# CuPtIN2 (GGA-PBE, optimized geometry)
# Calculated density = 5.60 g/cm3
# Energy above the most stable polymorph in this dataset = 0.0 kJ per mole of atoms
# D(E_F) = 0.38 states/eV per atom
# DFT total energy = -4.61 eV per atom
data_CuPtIN2
_chemical_formula_sum 'Cu1 Pt1 I1 N2'
_space_group_name_H-M_alt 'P 4/m m m'
_space_group_IT_number 123
_space_group_name_Hall '-P 4 2'
_cell_length_a 3.768
_cell_length_b 3.768
_cell_length_c 8.633
_cell_angle_alpha 90.00
_cell_angle_beta 90.00
_cell_angle_gamma 90.00
loop_
_atom_site_label
_atom_site_type_symbol
_atom_site_fract_x
_atom_site_fract_y
_atom_site_fract_z
Cu1 Cu 0.000 0.000 0.000
Pt1 Pt 0.500 0.500 0.500
I1 I 0.500 0.500 0.000
N1 N 0.000 0.500 0.500